DFT (GGA+U) results for a relaxed PmVGaO6 crystal.

Summary:
space-group type: P-31c, No. 163
uncorrected energy: -127.18 eV per cell

```
PmVGaO6
1.0
5.120 0.000 0.000
-2.560 4.434 0.000
0.000 0.000 10.063
O Ga V Pm
12 2 2 2
Cartesian
3.223 0.062 8.622
1.897 0.062 6.473
4.118 1.612 6.473
1.665 2.761 6.473
1.002 1.612 8.622
3.455 2.761 8.622
0.895 1.673 3.590
0.663 4.372 3.590
-0.663 4.372 1.441
-0.895 1.673 1.441
-1.558 2.822 3.590
1.558 2.822 1.441
2.560 1.478 2.516
0.000 2.956 7.547
2.560 1.478 7.547
0.000 2.956 2.516
0.000 0.000 5.031
0.000 0.000 0.000
```

DFT (GGA+U) results for a relaxed Pm2VGaO6 crystal.

Summary:
space-group type: P2_1/c, No. 14
uncorrected energy: -154.06 eV per cell

```
Pm2VGaO6
1.0
-0.523 5.395 -0.532
-5.427 -0.365 1.629
2.162 0.923 7.413
Pm O Ga V
4 12 2 2
Cartesian
-2.099 2.679 2.318
-4.572 -0.024 3.370
-1.689 3.274 6.190
0.784 5.977 5.139
-1.110 1.041 0.608
-0.770 4.168 4.192
-3.018 1.785 4.317
0.081 3.445 1.598
-3.560 4.516 4.959
-3.869 2.507 6.910
0.065 4.560 7.148
-0.986 1.047 6.294
-2.678 4.912 7.901
-2.802 4.906 2.215
-3.853 1.393 1.361
-0.228 1.436 3.550
-2.714 -0.183 0.814
0.820 3.159 3.440
-0.262 2.698 -0.266
-1.632 0.279 4.521
```